# 1
DFT (PBE-GGA) results for crystalline Mg2IrRh at its relaxed geometry.

Results
SG = P4mm, No. 99
energy relative to the elements = -0.1633 eV/atom
electronic total energy = -20.055 eV per cell

Unit cell a=2.859 b=2.859 c=8.234 alpha=90.00 beta=90.00 gamma=90.00
Sites, in units of the cell vectors:
Rh (0.000, 0.000, 0.517)
Mg (0.000, 0.000, 0.961)
Mg (0.500, 0.500, 0.289)
Ir (0.500, 0.500, 0.733)



# 2
DFT (PBE-GGA) results for crystalline MgIrRh3 at its relaxed geometry.

Results
SG = Pm-3m, No. 221
energy relative to the elements = 0.9886 eV/atom
electronic total energy = -27.567 eV per cell

Unit cell a=4.740 b=4.740 c=4.740 alpha=90.00 beta=90.00 gamma=90.00
Sites, in units of the cell vectors:
Rh (0.500, 0.000, 0.000)
Rh (0.000, 0.500, 0.000)
Rh (0.000, 0.000, 0.500)
Mg (0.500, 0.500, 0.500)
Ir (0.000, 0.000, 0.000)